Material: TbEuTl
Method: DFT, PBE
State: optimized geometry

Results
ΔE_f (eV per atom): -0.063
Density of states at the Fermi level (states/eV per cell): 33.17
Crystal system: cubic

abc: 7.5636 7.5636 7.5636
angles: 90.00 90.00 90.00
Space group F-43m (No. 216)
Inequivalent atoms, fractional coordinates:
Tb 0.0000 0.0000 0.0000
Eu 0.0000 0.0000 0.5000
Tl 0.2500 0.2500 0.2500

Material: LiPaTl2S4
Method: DFT, PBE
State: optimized geometry

Results
Formation energy from raw total energies (eV/atom): -1.098
Crystal system: monoclinic

abc: 6.6427 4.1058 7.7931
angles: 90.00 106.76 90.00
Space group P2/m (No. 10)
Inequivalent atoms, fractional coordinates:
Li 0.0000 0.0000 0.0000
Pa 0.5000 0.5000 0.0000
Tl 0.0000 0.5000 0.5000
Tl 0.5000 0.0000 0.5000
S 0.2523 0.5000 0.1970
S 0.2737 0.0000 0.8087

| no. | size of the total moment (μB/atom) |
| --- | --- |
| 1 | 2.433 |
| 2 | 0.000 |